## MnIrIO2 (GGA+U)

Data for a relaxed structure of MnIrIO2.

Unit cell a=3.7283 b=3.7283 c=7.4093 alpha=90.00 beta=90.00 gamma=90.00
Space group P4/mmm (No. 123)
One atom of each set of equivalent atoms:
Mn 0.0000 0.0000 0.0000 x1
Ir 0.5000 0.5000 0.5000 x1
I 0.0000 0.0000 0.5000 x1
O 0.0000 0.5000 0.0000 x2

Output
Density of states at the Fermi level = 5.155 states/eV/f.u.
Energy relative to the lowest polymorph listed for this composition = 221 meV per atom
V = 20.60 Å³/atom